Entry 1:
First-principles (PBE) data for Er2Zn5Au4 after structural relaxation, as listed in the Alexandria database.

Calculated volume (Å³/atom): 19.215
Magnetic moment (μB/atom): 0.0000
ΔE_f (eV per atom): -0.48

abc: 5.3340 5.2387 9.1839
angles: 81.50 73.12 59.40
Last column: nearest neighbours and their distance in Å.
Fractional coordinates of all 11 atoms:
Er: 0.8774 0.0000 0.2452  6 Au 3.04-3.06, 4 Zn 3.39
Er: 0.1226 0.0000 0.7548  6 Au 3.04-3.06, 4 Zn 3.39
Zn: 0.5000 0.0000 0.0000  4 Zn 2.62, 4 Au 2.71
Zn: 0.0000 0.5000 0.0000  4 Zn 2.62-2.67, 4 Au 2.76
Zn: 0.5000 0.5000 0.0000  4 Zn 2.62-2.67, 4 Au 2.76
Zn: 0.2500 0.5000 0.5000  4 Au 2.62, 2 Zn 2.67
Zn: 0.7500 0.5000 0.5000  4 Au 2.62, 2 Zn 2.67
Au: 0.4687 0.3227 0.7400  5 Zn 2.62-2.76, 1 Au 2.91
Au: 0.5313 0.6773 0.2600  5 Zn 2.62-2.76, 1 Au 2.91
Au: 0.2087 0.3227 0.2600  5 Zn 2.62-2.76, 1 Au 2.91
Au: 0.7913 0.6773 0.7400  5 Zn 2.62-2.76, 1 Au 2.91

=====

Entry 2:
First-principles (PBE) data for Cs2AsSBr6 after structural relaxation, as listed in the Alexandria database.

Calculated volume (Å³/atom): 33.598
Formation energy (no corrections) (eV/f.u.): -7.6
Magnetic moment (μB/atom): 0.0000

abc: 7.9480 7.9480 7.7377
angles: 59.10 59.10 90.00
Last column: nearest neighbours and their distance in Å.
Fractional coordinates of all 10 atoms:
Cs: 0.7500 0.2500 0.5000  12 Br 3.87-3.97
Cs: 0.2500 0.7500 0.5000  12 Br 3.87-3.97
As: 0.0000 0.0000 0.0000  6 Br 2.66-2.70
S: 0.5000 0.5000 0.0000  2 Br 2.62
Br: 0.2538 0.2538 0.4924  1 S 2.62, 1 As 2.70
Br: 0.7462 0.7462 0.5076  1 S 2.62, 1 As 2.70
Br: 0.2364 0.2364 0.0000  1 As 2.66, 1 S 2.96
Br: 0.7636 0.7636 0.0000  1 As 2.66, 1 S 2.96
Br: 0.7636 0.2364 0.0000  1 As 2.66, 1 S 2.96
Br: 0.2364 0.7636 0.0000  1 As 2.66, 1 S 2.96

=====

Entry 3:
First-principles (PBE) data for InFeOs2 after structural relaxation, as listed in the Alexandria database.

Calculated volume (Å³/atom): 15.334
Magnetic moment (μB/atom): 0.5573
ΔE_f (eV per atom): 0.42

abc: 4.7710 4.7710 4.7991
angles: 79.90 79.90 34.84
Last column: nearest neighbours and their distance in Å.
Fractional coordinates of all 4 atoms:
Fe: 0.5081 0.5081 0.4870  5 Os 2.57-2.84, 3 In 2.69-2.81, 2 Fe 2.86
In: 0.7509 0.7509 0.7313  3 Fe 2.69-2.81, 7 Os 2.79-2.94, 2 In 2.86
Os: 0.9912 0.9912 0.0492  2 Fe 2.57, 5 Os 2.63-2.86
Os: 0.2498 0.2498 0.2326  5 Os 2.63-2.86, 3 Fe 2.72-2.84, 4 In 2.79-2.80

=====

Entry 4:
First-principles (PBE) data for Fe2HgIr after structural relaxation, as listed in the Alexandria database.

Calculated volume (Å³/atom): 14.853
Magnetic moment (μB/atom): 1.5175
ΔE_f (eV per atom): 0.29

abc: 4.7082 4.7082 2.8253
angles: 90.00 90.00 108.44
Last column: nearest neighbours and their distance in Å.
Fractional coordinates of all 4 atoms:
Fe: 0.0000 0.0000 0.0000  4 Ir 2.75, 4 Hg 2.75, 4 Fe 2.75-2.83
Fe: 0.5000 0.5000 0.0000  4 Hg 2.75, 4 Ir 2.75, 4 Fe 2.75-2.83
Hg: 0.5000 0.0000 0.5000  8 Fe 2.75, 2 Ir 2.75, 2 Hg 2.83
Ir: 0.0000 0.5000 0.5000  8 Fe 2.75, 2 Hg 2.75, 2 Ir 2.83

=====

Entry 5:
First-principles (PBE) data for PuGaPd2 after structural relaxation, as listed in the Alexandria database.

Calculated volume (Å³/atom): 19.693
Magnetic moment (μB/atom): 1.3469
ΔE_f (eV per atom): -0.55

abc: 4.3844 4.3844 5.3663
angles: 65.89 65.89 60.00
Last column: nearest neighbours and their distance in Å.
Fractional coordinates of all 4 atoms:
Ga: 0.5000 0.5000 0.5000  6 Pd 2.62
Pd: 0.7849 0.7849 0.6454  3 Ga 2.62, 3 Pd 2.88
Pd: 0.2151 0.2151 0.3546  3 Ga 2.62, 3 Pd 2.88
Pu: 0.0000 0.0000 0.0000  8 Pd 3.04-3.05

=====

Entry 6:
First-principles (PBE) data for YMgP4 after structural relaxation, as listed in the Alexandria database.

Calculated volume (Å³/atom): 17.493
Magnetic moment (μB/atom): 0.0000
ΔE_f (eV per atom): -0.05

abc: 5.2948 5.2948 5.2948
angles: 60.00 60.00 60.00
Last column: nearest neighbours and their distance in Å.
Fractional coordinates of all 6 atoms:
Y: 0.7500 0.7500 0.7500  12 P 3.12, 4 Mg 3.24
Mg: 0.0000 0.0000 0.0000  12 P 3.09, 4 Y 3.24
P: 0.3704 0.8887 0.3704  6 P 2.55-2.74
P: 0.8887 0.3704 0.3704  6 P 2.55-2.74
P: 0.3704 0.3704 0.8887  6 P 2.55-2.74
P: 0.3704 0.3704 0.3704  6 P 2.55-2.74

=====

Entry 7:
First-principles (PBE) data for SrGa2HRh after structural relaxation, as listed in the Alexandria database.

Calculated volume (Å³/atom): 17.033
Final energy (eV for the cell shown): -18.6
Magnetic moment (μB/atom): 0.0000

abc: 4.2792 4.6510 4.2792
angles: 90.00 90.00 90.00
Last column: nearest neighbours and their distance in Å.
Fractional coordinates of all 5 atoms:
Sr: 0.0000 0.5000 0.0000  2 H 2.33
Rh: 0.5000 0.5000 0.5000  4 Sr 3.03, 8 Ga 3.16
Ga: 0.0000 0.0000 0.5000  2 H 2.14
Ga: 0.5000 0.0000 0.0000  2 H 2.14
H: 0.0000 0.0000 0.0000  4 Ga 2.14, 2 Sr 2.33

=====

Entry 8:
First-principles (PBE) data for CeDyGaSi after structural relaxation, as listed in the Alexandria database.

Distance to the lowest polymorph of the same formula (meV/atom): 0
Calculated volume (Å³/atom): 23.625
Formation energy (no corrections) (eV/f.u.): -2.6
Magnetic moment (μB/atom): 0.2822

abc: 4.3399 3.9875 5.8759
angles: 90.00 111.67 90.00
Last column: nearest neighbours and their distance in Å.
Fractional coordinates of all 4 atoms:
Ce: 0.8564 0.5000 0.7129  4 Ga 3.05, 3 Si 3.08-3.22
Dy: 0.1397 0.0000 0.2794  4 Si 3.03, 3 Ga 3.16
Ga: 0.4291 0.0000 0.8582  2 Si 2.55
Si: 0.5748 0.5000 0.1496  2 Ga 2.55

=====

Question: magnetic moment of number 1 (Er2Zn5Au4)?
Answer: 0.0000 μB/atom